# MgFe2Ni

A relaxed MgFe2Ni crystal (GGA-PBE, the Alexandria database).

Structure (POSCAR):
```
MgFe2Ni
1.0
-1.3595 2.2141 0.4608
0.3967 -0.2895 2.5926
6.3441 4.0044 -0.5236
Fe Mg Ni
2 1 1
Cartesian
6.1673 3.8928 -0.5090
3.3488 2.1138 -0.2764
1.1046 1.9634 1.3958
4.2767 3.9656 1.1340
```

formation enthalpy at 0 K = 145 meV per atom
final energy = -5.9302 eV/atom
size of the total moment = 5.6 μB/f.u.
V = 52.4 Å³/cell
SG = No. 65